No. 1
This record from the Alexandria database describes crystalline Y2Er3Tm3 at its relaxed geometry. The functional is GGA-PBE.

E_form: 5.97 kcal/mol of atoms
raw total energy: -4.75 eV per atom
spin magnetization: 6.6 μB per cell
space group: R32

Lattice parameters (Å, degrees): 6.382 6.382 6.382 89.98 89.98 90.02
Atoms (fractional coordinates):
1 Y 0.250 0.250 0.750
2 Y 0.750 0.750 0.250
3 Er 0.250 0.750 0.000
4 Er 0.000 0.250 0.250
5 Er 0.750 0.000 0.750
6 Tm 0.250 0.750 0.500
7 Tm 0.500 0.250 0.250
8 Tm 0.750 0.500 0.750



No. 2
This record from the Alexandria database describes crystalline Be3V2 at its relaxed geometry. The functional is GGA-PBE.

E_form: -1.20 kcal/mol of atoms
raw total energy: -5.94 eV per atom
spin magnetization: 0.0 μB per cell
space group: Cmce

Lattice parameters (Å, degrees): 4.509 4.509 5.917 90.00 90.00 58.30
Atoms (fractional coordinates):
1 Be 0.500 0.500 0.500
2 Be 0.000 0.000 0.000
3 Be 0.658 0.158 0.750
4 Be 0.842 0.342 0.250
5 Be 0.158 0.658 0.750
6 Be 0.342 0.842 0.250
7 V 0.168 0.168 0.603
8 V 0.832 0.832 0.397
9 V 0.332 0.332 0.103
10 V 0.668 0.668 0.897